No. 1
AlGa2As: optimized geometry, PBE-GGA.

Unit cell a=6.888 b=6.888 c=6.888 alpha=127.45 beta=127.45 gamma=77.52
Element x y z (fractional)
Al (0.000, 0.000, 0.000)
Al (0.750, 0.250, 0.500)
Ga (0.137, 0.625, 0.012)
Ga (0.375, 0.387, 0.512)
Ga (0.613, 0.125, 0.988)
Ga (0.875, 0.863, 0.488)
As (0.250, 0.750, 0.500)
As (0.500, 0.500, 0.000)

Values from the calculation:
The value obtained for the formation energy is 0.103 eV per atom. As for the density: 4.012 Mg/m³. Its space group is I-42d (122).

No. 2
AlGaAs2: optimized geometry, PBE-GGA.

Unit cell a=4.703 b=4.703 c=4.703 alpha=60.00 beta=60.00 gamma=60.00
Element x y z (fractional)
Al (0.000, 0.000, 0.000)
Ga (0.500, 0.500, 0.500)
As (0.250, 0.250, 0.250)
As (0.750, 0.750, 0.750)

Values from the calculation:
The value obtained for the formation energy is 0.157 eV per atom. As for the density: 5.567 Mg/m³. Its space group is Fm-3m (225).

No. 3
Al3GaAs: optimized geometry, PBE-GGA.

Unit cell a=4.788 b=4.788 c=4.788 alpha=90.00 beta=90.00 gamma=90.00
Element x y z (fractional)
Al (0.000, 0.000, 0.500)
Al (0.000, 0.500, 0.000)
Al (0.500, 0.000, 0.000)
Ga (0.000, 0.000, 0.000)
As (0.500, 0.500, 0.500)

Values from the calculation:
The value obtained for the formation energy is 0.527 eV per atom. As for the density: 3.413 Mg/m³. Its space group is Pm-3m (221).

No. 4
AlGaAs2: optimized geometry, PBE-GGA.

Unit cell a=7.031 b=7.031 c=7.031 alpha=131.82 beta=131.82 gamma=70.51
Element x y z (fractional)
Al (0.000, 0.000, 0.000)
Al (0.750, 0.250, 0.500)
Ga (0.250, 0.750, 0.500)
Ga (0.500, 0.500, 0.000)
As (0.124, 0.625, 0.999)
As (0.375, 0.374, 0.499)
As (0.626, 0.125, 0.001)
As (0.875, 0.876, 0.501)

Values from the calculation:
The value obtained for the formation energy is -0.420 eV per atom. As for the density: 4.330 Mg/m³. Its space group is I-42d (122).

no.,energy above the lowest structure with this stoichiometry (eV per atom)
1,0.000
2,0.577
3,0.000
4,0.000